Entry 1:
The following is a DFT calculation (PBE-GGA) of a geometry-optimized LiCr2Fe structure.

Calculated values
Formation enthalpy at 0 K ... 498 meV/atom
Space group ... P4/mmm, No. 123
Total magnetic moment ... 2.82 Bohr magnetons per cell

a = 4.070 Å, b = 4.070 Å, c = 2.848 Å
α = 90.00°, β = 90.00°, γ = 90.00°
Fractional positions:
Li 0.000 0.000 0.000
Cr 0.000 0.500 0.500
Cr 0.500 0.000 0.500
Fe 0.500 0.500 0.000

=====

Entry 2:
The following is a DFT calculation (PBE-GGA) of a geometry-optimized Li2CrFe structure.

Calculated values
Formation enthalpy at 0 K ... 393 meV/atom
Space group ... R-3m, No. 166
Total magnetic moment ... 7.61 Bohr magnetons per cell

a = 2.487 Å, b = 2.487 Å, c = 27.855 Å
α = 90.00°, β = 90.00°, γ = 120.00°
Fractional positions:
Li 0.000 0.000 0.248
Li 0.000 0.000 0.752
Li 0.333 0.667 0.418
Li 0.333 0.667 0.915
Li 0.667 0.333 0.085
Li 0.667 0.333 0.582
Cr 0.000 0.000 0.000
Cr 0.333 0.667 0.667
Cr 0.667 0.333 0.333
Fe 0.000 0.000 0.500
Fe 0.333 0.667 0.167
Fe 0.667 0.333 0.833